[1]
DFT (GGA-PBE) results for TbHo5Cu4 after structural relaxation.

The structure belongs to space group P4/mmm (No. 123); the cell edges are 3.455, 3.455 and 18.980 Å and the angles 90.00°, 90.00° and 90.00°. The inequivalent atoms are Tb at (0.000, 0.000, 0.000), Ho at (0.500, 0.500, 0.136), Ho at (0.500, 0.500, 0.317), Ho at (0.500, 0.500, 0.500), Cu at (0.000, 0.000, 0.226) and Cu at (0.000, 0.000, 0.409).

The calculation puts the total energy at -45.94 eV for the cell shown.



[2]
DFT (GGA-PBE) results for Tb5HoCu4 after structural relaxation.

The structure belongs to space group P4/mmm (No. 123); the cell edges are 3.489, 3.489 and 19.031 Å and the angles 90.00°, 90.00° and 90.00°. The inequivalent atoms are Tb at (0.000, 0.000, 0.000), Tb at (0.000, 0.000, 0.184), Tb at (0.000, 0.000, 0.365), Ho at (0.500, 0.500, 0.500), Cu at (0.500, 0.500, 0.092) and Cu at (0.500, 0.500, 0.275).

The calculation puts the total energy at -45.95 eV for the cell shown.



[3]
DFT (GGA-PBE) results for TbHoCu2 after structural relaxation.

The structure belongs to space group Fm-3m (No. 225); the cell edges are 6.938, 6.938 and 6.938 Å and the angles 90.00°, 90.00° and 90.00°. The inequivalent atoms are Tb at (0.000, 0.000, 0.000), Ho at (0.000, 0.000, 0.500) and Cu at (0.250, 0.250, 0.250).

The calculation puts the total energy at -73.60 eV for the cell shown.



[4]
DFT (GGA-PBE) results for TbHo4Cu after structural relaxation.

The structure belongs to space group P4/mmm (No. 123); the cell edges are 3.492, 3.492 and 13.666 Å and the angles 90.00°, 90.00° and 90.00°. The inequivalent atoms are Tb at (0.000, 0.000, 0.000), Ho at (0.000, 0.000, 0.376), Ho at (0.500, 0.500, 0.185) and Cu at (0.500, 0.500, 0.500).

The calculation puts the total energy at -27.39 eV for the cell shown.



[5]
DFT (GGA-PBE) results for TbHoCu2 after structural relaxation.

The structure belongs to space group Pm (No. 6); the cell edges are 3.741, 4.466 and 5.464 Å and the angles 90.00°, 109.45° and 90.00°. The inequivalent atoms are Tb at (0.000, 0.000, 0.000), Ho at (0.721, 0.500, 0.438), Cu at (0.290, 0.000, 0.575) and Cu at (0.429, 0.500, 0.859).

The calculation puts the total energy at -18.43 eV for the cell shown.



[6]
DFT (GGA-PBE) results for Tb2Ho3Cu2 after structural relaxation.

The structure belongs to space group C2/m (No. 12); the cell edges are 12.450, 3.613 and 8.996 Å and the angles 90.00°, 117.02° and 90.00°. The inequivalent atoms are Tb at (0.155, 0.000, 0.313), Ho at (0.000, 0.500, 0.500), Ho at (0.114, 0.500, 0.944) and Cu at (0.169, 0.000, 0.731).

The calculation puts the total energy at -64.09 eV for the cell shown.